No. 1
Computed, not measured: an optimized crystal structure of Na3ZrPd at the PBE level of DFT.

a = 5.9448 Å, b = 5.9448 Å, c = 5.9448 Å
α = 90.00°, β = 90.00°, γ = 90.00°
Closest atoms and distances in Å follow each position.
Fractional coordinates of all 5 atoms:
Na: 0.0000 0.0000 0.5000  2 Zr 2.97
Na: 0.0000 0.5000 0.0000  2 Zr 2.97
Na: 0.5000 0.0000 0.0000  2 Zr 2.97
Zr: 0.0000 0.0000 0.0000  6 Na 2.97
Pd: 0.5000 0.5000 0.5000  12 Na 4.20

size of the total moment = 0.6621 μB per atom
offset from the most stable computed form = 3.460 eV per formula unit
ΔH_f (0 K) = 7.55 eV per formula unit
energy = -2.030 eV/atom


No. 2
Computed, not measured: an optimized crystal structure of NaZrPd at the PBE level of DFT.

a = 7.1490 Å, b = 6.8289 Å, c = 4.6534 Å
α = 74.32°, β = 66.88°, γ = 38.81°
Closest atoms and distances in Å follow each position.
Fractional coordinates of all 6 atoms:
Na: 0.1703 0.8297 0.1703  1 Na 2.46
Na: 0.8297 0.1703 0.8297  1 Na 2.46
Zr: 0.2500 0.2500 0.2500  4 Pd 2.81, 2 Zr 2.93
Zr: 0.7500 0.7500 0.7500  4 Pd 2.81, 2 Zr 2.93
Pd: 0.3777 0.3777 0.6223  4 Zr 2.81, 2 Na 2.82, 1 Pd 3.02
Pd: 0.6223 0.6223 0.3777  4 Zr 2.81, 2 Na 2.82, 1 Pd 3.02

size of the total moment = 0.0000 μB per atom
ΔH_f (0 K) = -0.19 eV per formula unit
energy = -5.083 eV/atom


No. 3
Computed, not measured: an optimized crystal structure of Na2ZrPd at the PBE level of DFT.

a = 8.5150 Å, b = 8.5150 Å, c = 5.3875 Å
α = 90.00°, β = 90.00°, γ = 90.00°
Closest atoms and distances in Å follow each position.
Fractional coordinates of all 16 atoms:
Na: 0.1995 0.2500 0.1250  2 Pd 2.81, 2 Na 2.83
Na: 0.2500 0.6995 0.3750  2 Pd 2.81, 2 Na 2.83
Na: 0.2500 0.8005 0.8750  2 Pd 2.81, 2 Na 2.83
Na: 0.3005 0.2500 0.6250  2 Pd 2.81, 2 Na 2.83
Na: 0.6995 0.7500 0.6250  2 Pd 2.81, 2 Na 2.83
Na: 0.7500 0.1995 0.8750  2 Pd 2.81, 2 Na 2.83
Na: 0.7500 0.3005 0.3750  2 Pd 2.81, 2 Na 2.83
Na: 0.8005 0.7500 0.1250  2 Pd 2.81, 2 Na 2.83
Zr: 0.0000 0.0000 0.5000  2 Pd 2.69
Zr: 0.0000 0.5000 0.7500  2 Pd 2.69
Zr: 0.5000 0.0000 0.2500  2 Pd 2.69
Zr: 0.5000 0.5000 0.0000  2 Pd 2.69
Pd: 0.0000 0.0000 0.0000  2 Zr 2.69, 4 Na 2.81
Pd: 0.0000 0.5000 0.2500  2 Zr 2.69, 4 Na 2.81
Pd: 0.5000 0.0000 0.7500  2 Zr 2.69, 4 Na 2.81
Pd: 0.5000 0.5000 0.5000  2 Zr 2.69, 4 Na 2.81

size of the total moment = 0.3786 μB per atom
offset from the most stable computed form = 0.000 eV per formula unit
ΔH_f (0 K) = 2.15 eV per formula unit
energy = -3.557 eV/atom


No. 4
Computed, not measured: an optimized crystal structure of Na3ZrPd at the PBE level of DFT.

a = 5.2792 Å, b = 5.2792 Å, c = 5.2792 Å
α = 90.00°, β = 90.00°, γ = 90.00°
Closest atoms and distances in Å follow each position.
Fractional coordinates of all 5 atoms:
Na: 0.0000 0.0000 0.5000  2 Pd 2.64
Na: 0.0000 0.5000 0.0000  2 Pd 2.64
Na: 0.5000 0.0000 0.0000  2 Pd 2.64
Zr: 0.5000 0.5000 0.5000  12 Na 3.73
Pd: 0.0000 0.0000 0.0000  6 Na 2.64

size of the total moment = 0.5846 μB per atom
offset from the most stable computed form = 0.000 eV per formula unit
ΔH_f (0 K) = 4.09 eV per formula unit
energy = -2.722 eV/atom


No. 5
Computed, not measured: an optimized crystal structure of Na6Pm at the PBE level of DFT.

a = 8.2202 Å, b = 8.2202 Å, c = 8.2202 Å
α = 90.00°, β = 90.00°, γ = 90.00°
Closest atoms and distances in Å follow each position.
Fractional coordinates of all 14 atoms:
Na: 0.0000 0.2500 0.5000  4 Na 2.91
Na: 0.0000 0.5000 0.2500  4 Na 2.91
Na: 0.0000 0.5000 0.7500  4 Na 2.91
Na: 0.0000 0.7500 0.5000  4 Na 2.91
Na: 0.2500 0.0000 0.5000  4 Na 2.91
Na: 0.2500 0.5000 0.0000  4 Na 2.91
Na: 0.5000 0.0000 0.2500  4 Na 2.91
Na: 0.5000 0.0000 0.7500  4 Na 2.91
Na: 0.5000 0.2500 0.0000  4 Na 2.91
Na: 0.5000 0.7500 0.0000  4 Na 2.91
Na: 0.7500 0.0000 0.5000  4 Na 2.91
Na: 0.7500 0.5000 0.0000  4 Na 2.91
Pm: 0.0000 0.0000 0.0000  24 Na 4.60
Pm: 0.5000 0.5000 0.5000  24 Na 4.60

size of the total moment = 0.0000 μB per atom
ΔH_f (0 K) = 3.72 eV per formula unit
energy = -1.278 eV/atom


No. 6
Computed, not measured: an optimized crystal structure of NaPm3 at the PBE level of DFT.

a = 5.1436 Å, b = 5.1436 Å, c = 5.1436 Å
α = 90.00°, β = 90.00°, γ = 90.00°
Closest atoms and distances in Å follow each position.
Fractional coordinates of all 4 atoms:
Na: 0.0000 0.0000 0.0000  12 Pm 3.64
Pm: 0.0000 0.5000 0.5000  4 Na 3.64, 8 Pm 3.64
Pm: 0.5000 0.0000 0.5000  4 Na 3.64, 8 Pm 3.64
Pm: 0.5000 0.5000 0.0000  4 Na 3.64, 8 Pm 3.64

size of the total moment = 0.0001 μB per atom
offset from the most stable computed form = 0.331 eV per formula unit
ΔH_f (0 K) = 1.05 eV per formula unit
energy = -3.630 eV/atom


No. 7
Computed, not measured: an optimized crystal structure of Na2Pm at the PBE level of DFT.

a = 3.5551 Å, b = 3.5632 Å, c = 9.6980 Å
α = 79.79°, β = 79.84°, γ = 60.23°
Closest atoms and distances in Å follow each position.
Fractional coordinates of all 3 atoms:
Na: 0.2303 0.2346 0.3268  9 Na 3.56-3.94, 3 Pm 3.71-3.73
Na: 0.7697 0.7654 0.6732  9 Na 3.56-3.94, 3 Pm 3.71-3.73
Pm: 0.0000 0.0000 0.0000  6 Pm 3.56-3.57, 6 Na 3.71-3.73

size of the total moment = 0.0000 μB per atom
offset from the most stable computed form = 0.000 eV per formula unit
ΔH_f (0 K) = 0.38 eV per formula unit
energy = -2.335 eV/atom


No. 8
Computed, not measured: an optimized crystal structure of Na5Pm at the PBE level of DFT.

a = 6.2715 Å, b = 18.7511 Å, c = 3.6324 Å
α = 90.00°, β = 90.00°, γ = 90.00°
Closest atoms and distances in Å follow each position.
Fractional coordinates of all 12 atoms:
Na: 0.0000 0.0000 0.0000  6 Na 3.37-3.63, 4 Pm 3.62
Na: 0.0000 0.1514 0.5000  10 Na 3.37-3.75
Na: 0.0000 0.3264 0.0000  8 Na 3.63-3.75, 2 Pm 3.73
Na: 0.0000 0.6736 0.0000  8 Na 3.63-3.75, 2 Pm 3.73
Na: 0.0000 0.8486 0.5000  10 Na 3.37-3.75
Na: 0.5000 0.1736 0.0000  8 Na 3.63-3.75, 2 Pm 3.73
Na: 0.5000 0.3486 0.5000  10 Na 3.37-3.75
Na: 0.5000 0.5000 0.0000  6 Na 3.37-3.63, 4 Pm 3.62
Na: 0.5000 0.6514 0.5000  10 Na 3.37-3.75
Na: 0.5000 0.8264 0.0000  8 Na 3.63-3.75, 2 Pm 3.73
Pm: 0.0000 0.5000 0.5000  8 Na 3.62-3.73, 2 Pm 3.63
Pm: 0.5000 0.0000 0.5000  8 Na 3.62-3.73, 2 Pm 3.63

size of the total moment = 0.0000 μB per atom
ΔH_f (0 K) = 0.98 eV per formula unit
energy = -1.728 eV/atom


Question: Which value of energy does entry 7 give?
Answer: -2.335 eV/atom


Question: What is the formula in the first record?
Answer: Na3ZrPd